1.
First-principles (GGA-PBE) data for a geometry-optimized Lu2Sc4Cu3C3 structure, as listed in OQMD.

```
data_Lu2Sc4Cu3C3
_cell_length_a 5.841
_cell_length_b 5.841
_cell_length_c 13.848
_cell_angle_alpha 102.47
_cell_angle_beta 102.47
_cell_angle_gamma 59.92
_symmetry_space_group_name_H-M 'P 1'
_symmetry_Int_Tables_number 1
_symmetry_space_group_name_Hall 'P 1'
loop_
_atom_site_label
_atom_site_fract_x
_atom_site_fract_y
_atom_site_fract_z
Lu1 0.037 0.872 0.608
Lu2 0.128 0.963 0.892
Lu3 0.872 0.037 0.108
Lu4 0.963 0.128 0.392
Sc1 0.196 0.360 0.086
Sc2 0.301 0.474 0.414
Sc3 0.360 0.196 0.586
Sc4 0.474 0.301 0.914
Sc5 0.526 0.699 0.086
Sc6 0.640 0.804 0.414
Sc7 0.699 0.526 0.586
Sc8 0.804 0.640 0.914
Cu1 0.085 0.407 0.750
Cu2 0.407 0.085 0.250
Cu3 0.420 0.580 0.250
Cu4 0.580 0.420 0.750
Cu5 0.593 0.915 0.750
Cu6 0.915 0.593 0.250
C1 0.000 0.500 0.500
C2 0.166 0.668 0.000
C3 0.332 0.834 0.500
C4 0.500 0.000 0.000
C5 0.668 0.166 0.500
C6 0.834 0.332 0.000
```

Properties
Theoretical density   6.35 g/cm3
SG   No. 15
Uncorrected energy   -154.20 eV for the cell shown


2.
First-principles (GGA-PBE) data for a geometry-optimized NbInCuTe2Se structure, as listed in OQMD.

```
data_NbInCuTe2Se
_cell_length_a 7.799
_cell_length_b 7.799
_cell_length_c 10.023
_cell_angle_alpha 90.00
_cell_angle_beta 90.00
_cell_angle_gamma 151.53
_symmetry_space_group_name_H-M 'P 1'
_symmetry_Int_Tables_number 1
_symmetry_space_group_name_Hall 'P 1'
loop_
_atom_site_label
_atom_site_fract_x
_atom_site_fract_y
_atom_site_fract_z
Nb1 0.000 0.000 0.000
Nb2 0.000 0.000 0.500
In1 0.264 0.736 0.750
In2 0.736 0.264 0.250
Cu1 0.471 0.529 0.250
Cu2 0.529 0.471 0.750
Te1 0.363 0.637 0.050
Te2 0.363 0.637 0.450
Te3 0.637 0.363 0.550
Te4 0.637 0.363 0.950
Se1 0.068 0.932 0.250
Se2 0.932 0.068 0.750
```

Properties
Theoretical density   6.92 g/cm3
SG   No. 63
Uncorrected energy   -56.23 eV for the cell shown


3.
First-principles (GGA-PBE) data for a geometry-optimized ScNbCuPb structure, as listed in OQMD.

```
data_ScNbCuPb
_cell_length_a 6.813
_cell_length_b 6.813
_cell_length_c 6.813
_cell_angle_alpha 90.00
_cell_angle_beta 90.00
_cell_angle_gamma 90.00
_symmetry_space_group_name_H-M 'P 1'
_symmetry_Int_Tables_number 1
_symmetry_space_group_name_Hall 'P 1'
loop_
_atom_site_label
_atom_site_fract_x
_atom_site_fract_y
_atom_site_fract_z
Sc1 0.000 0.000 0.000
Sc2 0.000 0.500 0.500
Sc3 0.500 0.000 0.500
Sc4 0.500 0.500 0.000
Nb1 0.250 0.250 0.250
Nb2 0.250 0.750 0.750
Nb3 0.750 0.250 0.750
Nb4 0.750 0.750 0.250
Cu1 0.250 0.250 0.750
Cu2 0.250 0.750 0.250
Cu3 0.750 0.250 0.250
Cu4 0.750 0.750 0.750
Pb1 0.000 0.000 0.500
Pb2 0.000 0.500 0.000
Pb3 0.500 0.000 0.000
Pb4 0.500 0.500 0.500
```

Properties
Theoretical density   8.58 g/cm3
SG   No. 216
Uncorrected energy   -89.00 eV for the cell shown


4.
First-principles (GGA-PBE) data for a geometry-optimized ZrInCoAu structure, as listed in OQMD.

```
data_ZrInCoAu
_cell_length_a 6.558
_cell_length_b 6.558
_cell_length_c 6.558
_cell_angle_alpha 90.00
_cell_angle_beta 90.00
_cell_angle_gamma 90.00
_symmetry_space_group_name_H-M 'P 1'
_symmetry_Int_Tables_number 1
_symmetry_space_group_name_Hall 'P 1'
loop_
_atom_site_label
_atom_site_fract_x
_atom_site_fract_y
_atom_site_fract_z
Zr1 0.000 0.000 0.000
Zr2 0.000 0.500 0.500
Zr3 0.500 0.000 0.500
Zr4 0.500 0.500 0.000
In1 0.250 0.250 0.250
In2 0.250 0.750 0.750
In3 0.750 0.250 0.750
In4 0.750 0.750 0.250
Co1 0.000 0.000 0.500
Co2 0.000 0.500 0.000
Co3 0.500 0.000 0.000
Co4 0.500 0.500 0.500
Au1 0.250 0.250 0.750
Au2 0.250 0.750 0.250
Au3 0.750 0.250 0.250
Au4 0.750 0.750 0.750
```

Properties
Theoretical density   10.88 g/cm3
SG   No. 216
Uncorrected energy   -87.62 eV for the cell shown


5.
First-principles (GGA-PBE) data for a geometry-optimized MgTcBMo structure, as listed in OQMD.

```
data_MgTcBMo
_cell_length_a 5.925
_cell_length_b 5.925
_cell_length_c 5.925
_cell_angle_alpha 90.00
_cell_angle_beta 90.00
_cell_angle_gamma 90.00
_symmetry_space_group_name_H-M 'P 1'
_symmetry_Int_Tables_number 1
_symmetry_space_group_name_Hall 'P 1'
loop_
_atom_site_label
_atom_site_fract_x
_atom_site_fract_y
_atom_site_fract_z
Mg1 0.000 0.000 0.000
Mg2 0.000 0.500 0.500
Mg3 0.500 0.000 0.500
Mg4 0.500 0.500 0.000
Tc1 0.250 0.250 0.250
Tc2 0.250 0.750 0.750
Tc3 0.750 0.250 0.750
Tc4 0.750 0.750 0.250
B1 0.000 0.000 0.500
B2 0.000 0.500 0.000
B3 0.500 0.000 0.000
B4 0.500 0.500 0.500
Mo1 0.250 0.250 0.750
Mo2 0.250 0.750 0.250
Mo3 0.750 0.250 0.250
Mo4 0.750 0.750 0.750
```

Properties
Theoretical density   7.31 g/cm3
SG   No. 216
Uncorrected energy   -105.62 eV for the cell shown


6.
First-principles (GGA-PBE) data for a geometry-optimized RbCuSiTe2S structure, as listed in OQMD.

```
data_RbCuSiTe2S
_cell_length_a 8.245
_cell_length_b 8.245
_cell_length_c 10.647
_cell_angle_alpha 90.00
_cell_angle_beta 90.00
_cell_angle_gamma 153.60
_symmetry_space_group_name_H-M 'P 1'
_symmetry_Int_Tables_number 1
_symmetry_space_group_name_Hall 'P 1'
loop_
_atom_site_label
_atom_site_fract_x
_atom_site_fract_y
_atom_site_fract_z
Rb1 0.227 0.773 0.750
Rb2 0.773 0.227 0.250
Cu1 0.036 0.964 0.250
Cu2 0.964 0.036 0.750
Si1 0.500 0.500 0.000
Si2 0.500 0.500 0.500
Te1 0.119 0.881 0.041
Te2 0.119 0.881 0.459
Te3 0.881 0.119 0.541
Te4 0.881 0.119 0.959
S1 0.456 0.544 0.250
S2 0.544 0.456 0.750
```

Properties
Theoretical density   4.79 g/cm3
SG   No. 63
Uncorrected energy   -44.19 eV for the cell shown


7.
First-principles (GGA-PBE) data for a geometry-optimized GdHoAg2 structure, as listed in OQMD.

```
data_GdHoAg2
_cell_length_a 5.150
_cell_length_b 5.150
_cell_length_c 3.611
_cell_angle_alpha 90.00
_cell_angle_beta 90.00
_cell_angle_gamma 90.00
_symmetry_space_group_name_H-M 'P 1'
_symmetry_Int_Tables_number 1
_symmetry_space_group_name_Hall 'P 1'
loop_
_atom_site_label
_atom_site_fract_x
_atom_site_fract_y
_atom_site_fract_z
Gd1 0.000 0.000 0.000
Ho1 0.500 0.500 0.000
Ag1 0.000 0.500 0.500
Ag2 0.500 0.000 0.500
```

Properties
ΔH_f (0 K)   -328 meV per atom
Theoretical density   9.33 g/cm3
SG   No. 123
Uncorrected energy   -16.19 eV for the cell shown


8.
First-principles (GGA-PBE) data for a geometry-optimized CuSbPb structure, as listed in OQMD.

```
data_CuSbPb
_cell_length_a 6.637
_cell_length_b 4.019
_cell_length_c 12.397
_cell_angle_alpha 90.00
_cell_angle_beta 90.00
_cell_angle_gamma 90.00
_symmetry_space_group_name_H-M 'P 1'
_symmetry_Int_Tables_number 1
_symmetry_space_group_name_Hall 'P 1'
loop_
_atom_site_label
_atom_site_fract_x
_atom_site_fract_y
_atom_site_fract_z
Cu1 0.003 0.250 0.064
Cu2 0.497 0.750 0.564
Cu3 0.503 0.250 0.436
Cu4 0.997 0.750 0.936
Sb1 0.235 0.750 0.113
Sb2 0.265 0.250 0.613
Sb3 0.735 0.750 0.387
Sb4 0.765 0.250 0.887
Pb1 0.215 0.750 0.372
Pb2 0.285 0.250 0.872
Pb3 0.715 0.750 0.128
Pb4 0.785 0.250 0.628
```

Properties
Theoretical density   7.88 g/cm3
SG   No. 62
Uncorrected energy   -44.87 eV for the cell shown